The following is a DFT calculation (PBE-GGA) of crystalline Tm4CuSn3 at its relaxed geometry.

Cell lengths 4.328, 4.254, 11.115 Å; angles 90.00, 90.00, 90.00 degrees
Sites, in units of the cell vectors:
Sn 0.500 0.000 0.922
Tm 0.500 0.000 0.639
Cu 0.500 0.500 0.079
Sn 0.000 0.000 0.408
Tm 0.000 0.000 0.134
Tm 0.500 0.500 0.348
Tm 0.000 0.500 0.873
Sn 0.000 0.500 0.597

Properties
The formation energy comes out at -0.542 eV/atom. The final energy is -38.33 eV/cell. For the calculated density, the calculation gives 8.89 g cm⁻³.